Here is crystalline SrPb2 at its relaxed geometry from Alexandria. Energies are from PBE.

Lattice parameters (Å, degrees): 12.5015 5.4974 7.8634 90.00 128.92 90.00
Space group C2/m (No. 12)
Symmetry-distinct sites (fractional):
Sr  0.0440  0.0000  0.2940 (multiplicity 4)
Pb  0.1632  0.5000  0.1234 (multiplicity 4)
Pb  0.1627  0.5000  0.7057 (multiplicity 4)

Output
DFT formation energy	-376	meV/atom

Here is crystalline Sr2Pb at its relaxed geometry from Alexandria. Energies are from PBE.

Lattice parameters (Å, degrees): 5.7981 5.7981 7.7778 90.00 90.00 120.00
Space group P6_3/mmc (No. 194)
Symmetry-distinct sites (fractional):
Sr  0.0000  0.0000  0.0000 (multiplicity 2)
Sr  0.3333  0.6667  0.2500 (multiplicity 2)
Pb  0.3333  0.6667  0.7500 (multiplicity 2)

Output
DFT formation energy	-518	meV/atom

Here is crystalline Sr5Pb2 at its relaxed geometry from Alexandria. Energies are from PBE.

Lattice parameters (Å, degrees): 8.6803 17.1608 7.6683 90.00 90.00 90.00
Space group Ibam (No. 72)
Symmetry-distinct sites (fractional):
Sr  0.0000  0.0000  0.2500 (multiplicity 4)
Sr  0.0000  0.2313  0.2500 (multiplicity 8)
Sr  0.1502  0.4173  0.0000 (multiplicity 8)
Pb  0.2385  0.3777  0.5000 (multiplicity 8)

Output
DFT formation energy	-384	meV/atom

Here is crystalline Sr3Pb at its relaxed geometry from Alexandria. Energies are from PBE.

Lattice parameters (Å, degrees): 6.8765 6.8765 6.8765 90.00 90.00 90.00
Space group Pm-3n (No. 223)
Symmetry-distinct sites (fractional):
Sr  0.0000  0.2500  0.5000 (multiplicity 6)
Pb  0.0000  0.0000  0.0000 (multiplicity 2)

Output
DFT formation energy	-184	meV/atom

Here is crystalline SrPb4 at its relaxed geometry from Alexandria. Energies are from PBE.

Lattice parameters (Å, degrees): 9.2705 5.9948 6.3750 90.00 111.21 90.00
Space group C2/m (No. 12)
Symmetry-distinct sites (fractional):
Sr  0.0000  0.0000  0.0000 (multiplicity 2)
Pb  0.1018  0.5000  0.7820 (multiplicity 4)
Pb  0.2277  0.0000  0.6324 (multiplicity 4)

Output
DFT formation energy	-216	meV/atom

Here is crystalline Sr2Pb at its relaxed geometry from Alexandria. Energies are from PBE.

Lattice parameters (Å, degrees): 5.7712 5.7712 3.9766 90.00 90.00 90.00
Space group P4/mmm (No. 123)
Symmetry-distinct sites (fractional):
Sr  0.0000  0.5000  0.0000 (multiplicity 2)
Pb  0.0000  0.0000  0.5000 (multiplicity 1)

Output
DFT formation energy	-376	meV/atom

Here is crystalline Sr2Pb at its relaxed geometry from Alexandria. Energies are from PBE.

Lattice parameters (Å, degrees): 12.6223 5.1845 9.0579 90.00 121.04 90.00
Space group C2/m (No. 12)
Symmetry-distinct sites (fractional):
Sr  0.0782  0.0000  0.3632 (multiplicity 4)
Sr  0.1826  0.5000  0.0899 (multiplicity 4)
Pb  0.1423  0.5000  0.6685 (multiplicity 4)

Output
DFT formation energy	-407	meV/atom

Here is crystalline SrPb2 at its relaxed geometry from Alexandria. Energies are from PBE.

Lattice parameters (Å, degrees): 9.4282 9.4282 9.4282 90.00 90.00 90.00
Space group Fd-3m (No. 227, origin choice 2)
Symmetry-distinct sites (fractional):
Sr  0.1250  0.1250  0.1250 (multiplicity 8)
Pb  0.0000  0.0000  0.5000 (multiplicity 16)

Output
DFT formation energy	-344	meV/atom